A plane-wave DFT calculation with GGA-PBE was carried out for a relaxed structure of Pm3YC.

abc: 5.203 5.203 5.203
angles: 90.00 90.00 90.00
Atoms (fractional coordinates):
Y: 0.500 0.500 0.500
Pm: 0.000 0.000 0.500
Pm: 0.500 0.000 0.000
Pm: 0.000 0.500 0.000
C: 0.000 0.000 0.000

Computed properties:
**Energy**: -29.59 eV for the cell shown
**V**: 140.8 Å³/f.u.
**Energy of formation**: 0.07 eV/atom
**M_tot**: 0.001 μB per formula unit
**Crystal system**: cubic

***

A plane-wave DFT calculation with GGA-PBE was carried out for a relaxed structure of TbPrI4.

abc: 4.197 8.397 7.317
angles: 106.46 90.00 90.00
Atoms (fractional coordinates):
Tb: 0.000 0.500 0.500
I: 0.000 0.754 0.261
I: 0.500 0.746 0.737
I: 0.500 0.254 0.263
I: 0.000 0.246 0.739
Pr: 0.500 0.500 0.000

Computed properties:
**Energy**: -23.18 eV for the cell shown
**V**: 247.3 Å³/f.u.
**M_tot**: 0.000 μB per formula unit
**Crystal system**: monoclinic
**ΔE_f (raw)**: -1.262 eV per atom

***

A plane-wave DFT calculation with GGA-PBE was carried out for a relaxed structure of LiBeSi.

abc: 3.827 3.827 3.827
angles: 60.00 60.00 60.00
Atoms (fractional coordinates):
Li: 0.000 0.000 0.000
Be: 0.750 0.750 0.750
Si: 0.500 0.500 0.500

Computed properties:
**Energy**: -10.90 eV for the cell shown
**V**: 39.6 Å³/f.u.
**M_tot**: 0.000 μB per formula unit
**Distance to the lowest polymorph of the same formula**: 0.0943 eV/atom
**Crystal system**: cubic
**ΔE_f (raw)**: 0.053 eV per atom

***

A plane-wave DFT calculation with GGA-PBE was carried out for a relaxed structure of MnTl2Mo.

abc: 9.508 9.508 9.508
angles: 18.90 18.90 18.90
Site moments in Bohr magnetons follow the coordinates.
Atoms (fractional coordinates):
Tl: 0.999 0.999 0.999  -0.04
Tl: 0.501 0.501 0.501  -0.04
Mo: 0.750 0.750 0.750  -0.28
Mn: 0.250 0.250 0.250  3.57

Computed properties:
**Energy**: -21.83 eV for the cell shown
**V**: 78.8 Å³/f.u.
**Energy of formation**: 0.73 eV/atom
**M_tot**: 3.296 μB per formula unit
**Distance to the lowest polymorph of the same formula**: 0.2762 eV/atom
**Crystal system**: trigonal

***

A plane-wave DFT calculation with GGA-PBE was carried out for a relaxed structure of Tb7Nd2Ho3.

abc: 3.527 6.350 17.957
angles: 75.60 90.00 90.00
Atoms (fractional coordinates):
Tb: 0.500 0.940 0.833
Tb: 0.000 0.561 0.163
Tb: 0.500 0.758 0.498
Tb: 0.000 0.000 0.000
Tb: 0.500 0.060 0.167
Tb: 0.000 0.439 0.837
Tb: 0.500 0.242 0.502
Nd: 0.500 0.613 0.327
Nd: 0.500 0.387 0.673
Ho: 0.000 0.110 0.342
Ho: 0.000 0.890 0.658
Ho: 0.500 0.500 0.000

Computed properties:
**Energy**: -54.80 eV for the cell shown
**V**: 389.5 Å³/f.u.
**Energy of formation**: 0.07 eV/atom
**M_tot**: 0.000 μB per formula unit
**Distance to the lowest polymorph of the same formula**: 0.0000 eV/atom
**Crystal system**: monoclinic

***

A plane-wave DFT calculation with GGA-PBE was carried out for a relaxed structure of SrGa2Pb.

abc: 4.842 7.547 12.069
angles: 90.00 90.00 90.00
Atoms (fractional coordinates):
Sr: 0.250 0.151 0.862
Sr: 0.750 0.849 0.138
Sr: 0.750 0.349 0.362
Sr: 0.250 0.651 0.638
Pb: 0.750 0.346 0.061
Pb: 0.750 0.846 0.439
Pb: 0.250 0.654 0.939
Pb: 0.250 0.154 0.561
Ga: 0.750 0.840 0.859
Ga: 0.250 0.513 0.171
Ga: 0.750 0.987 0.671
Ga: 0.250 0.660 0.359
Ga: 0.750 0.340 0.641
Ga: 0.250 0.160 0.141
Ga: 0.750 0.487 0.829
Ga: 0.250 0.013 0.329

Computed properties:
**Energy**: -51.18 eV for the cell shown
**V**: 110.3 Å³/f.u.
**Energy of formation**: -0.34 eV/atom
**M_tot**: 0.000 μB per formula unit
**Crystal system**: orthorhombic